VASP calculation (PBE) on LaTc2Rh2 after structural relaxation.

The space group is P4/mbm (No. 127) and the conventional cell measures 7.817, 7.817 and 2.831 Å, with angles of 90.00, 90.00 and 90.00 degrees. The inequivalent atoms are La at (0.000, 0.000, 0.000), Tc at (0.115, 0.385, 0.000) and Rh at (0.176, 0.676, 0.500).

For the energy above the most stable polymorph in this dataset, the calculation gives 3.7 kJ/mol of atoms. As for the crystal system: tetragonal. The total moment comes out at 0.00 μB/cell. The density of states at the Fermi level is 10.62 states/eV/cell. The calculation puts the formation enthalpy at 0 K at -0.3 kJ/mol of atoms.